Entry 1:
VASP calculation (PBE) on CdCoAs2 after structural relaxation.

```
data_CdCoAs2
_cell_length_a 4.864
_cell_length_b 3.802
_cell_length_c 4.879
_cell_angle_alpha 90.00
_cell_angle_beta 117.42
_cell_angle_gamma 90.00
_symmetry_space_group_name_H-M 'P 1 2/m 1'
_symmetry_Int_Tables_number 10
_symmetry_space_group_name_Hall '-P 2y'
loop_
_atom_site_label
_atom_site_type_symbol
_atom_site_fract_x
_atom_site_fract_y
_atom_site_fract_z
Cd1 Cd 0.000 0.000 0.000
Co1 Co 0.500 0.000 0.500
As1 As 0.338 0.500 0.658
```

Energy of formation = 0.19 eV/f.u.
Total energy = -0.1574 hartree per atom
Fermi-level density of states = 0.67 states/eV per atom


Entry 2:
VASP calculation (PBE) on Cd2CoAs after structural relaxation.

```
data_Cd2CoAs
_cell_length_a 3.006
_cell_length_b 5.144
_cell_length_c 4.794
_cell_angle_alpha 90.00
_cell_angle_beta 93.56
_cell_angle_gamma 90.00
_symmetry_space_group_name_H-M 'P 1 2/m 1'
_symmetry_Int_Tables_number 10
_symmetry_space_group_name_Hall '-P 2y'
loop_
_atom_site_label
_atom_site_type_symbol
_atom_site_fract_x
_atom_site_fract_y
_atom_site_fract_z
Cd1 Cd 0.243 0.000 0.256
Co1 Co 0.500 0.500 0.500
As1 As 0.000 0.500 0.000
```

Energy of formation = 1.55 eV/f.u.
Total energy = -0.1106 hartree per atom
Fermi-level density of states = 0.96 states/eV per atom


Entry 3:
VASP calculation (PBE) on CdCoAs2 after structural relaxation.

```
data_CdCoAs2
_cell_length_a 2.847
_cell_length_b 3.605
_cell_length_c 7.594
_cell_angle_alpha 90.00
_cell_angle_beta 90.00
_cell_angle_gamma 90.00
_symmetry_space_group_name_H-M 'P m m 2'
_symmetry_Int_Tables_number 25
_symmetry_space_group_name_Hall 'P 2 -2'
loop_
_atom_site_label
_atom_site_type_symbol
_atom_site_fract_x
_atom_site_fract_y
_atom_site_fract_z
Cd1 Cd 0.000 0.000 0.000
Co1 Co 0.500 0.500 0.459
As1 As 0.000 0.000 0.360
As2 As 0.500 0.500 0.756
```

Energy of formation = 0.36 eV/f.u.
Total energy = -0.1558 hartree per atom
Fermi-level density of states = 0.63 states/eV per atom


Entry 4:
VASP calculation (PBE) on Cd2CoAs after structural relaxation.

```
data_Cd2CoAs
_cell_length_a 3.1260
_cell_length_b 3.1260
_cell_length_c 26.8524
_cell_angle_alpha 90.00
_cell_angle_beta 90.00
_cell_angle_gamma 120.00
_symmetry_space_group_name_H-M 'R 3 m'
_symmetry_Int_Tables_number 160
_symmetry_space_group_name_Hall 'R 3 -2"'
loop_
_atom_site_label
_atom_site_type_symbol
_atom_site_fract_x
_atom_site_fract_y
_atom_site_fract_z
Cd1 Cd 0.0000 0.0000 0.0000
Cd2 Cd 0.0000 0.0000 0.2310
Co1 Co 0.0000 0.0000 0.7441
As1 As 0.0000 0.0000 0.4628
```

Energy of formation = 0.12 eV/f.u.
Total energy = -0.1237 hartree per atom
Fermi-level density of states = 0.56 states/eV per atom


Entry 5:
VASP calculation (PBE) on Cd2CoAs after structural relaxation.

```
data_Cd2CoAs
_cell_length_a 4.006
_cell_length_b 4.006
_cell_length_c 8.861
_cell_angle_alpha 90.00
_cell_angle_beta 90.00
_cell_angle_gamma 90.00
_symmetry_space_group_name_H-M 'I 4/m m m'
_symmetry_Int_Tables_number 139
_symmetry_space_group_name_Hall '-I 4 2'
loop_
_atom_site_label
_atom_site_type_symbol
_atom_site_fract_x
_atom_site_fract_y
_atom_site_fract_z
Cd1 Cd 0.000 0.500 0.250
Co1 Co 0.000 0.000 0.000
As1 As 0.000 0.000 0.500
```

Energy of formation = 1.29 eV/f.u.
Total energy = -0.1130 hartree per atom
Fermi-level density of states = 0.61 states/eV per atom


Entry 6:
VASP calculation (PBE) on CsCd2CoAs after structural relaxation.

```
data_CsCd2CoAs
_cell_length_a 5.299
_cell_length_b 5.299
_cell_length_c 4.596
_cell_angle_alpha 90.00
_cell_angle_beta 90.00
_cell_angle_gamma 90.00
_symmetry_space_group_name_H-M 'P 4/m m m'
_symmetry_Int_Tables_number 123
_symmetry_space_group_name_Hall '-P 4 2'
loop_
_atom_site_label
_atom_site_type_symbol
_atom_site_fract_x
_atom_site_fract_y
_atom_site_fract_z
Cs1 Cs 0.000 0.000 0.000
Cd1 Cd 0.000 0.500 0.500
Co1 Co 0.500 0.500 0.500
As1 As 0.500 0.500 0.000
```

Energy of formation = 0.14 eV/f.u.
Total energy = -0.1051 hartree per atom
Fermi-level density of states = 0.49 states/eV per atom


Entry 7:
VASP calculation (PBE) on CdCo2AsI after structural relaxation.

```
data_CdCo2AsI
_cell_length_a 4.844
_cell_length_b 4.844
_cell_length_c 5.900
_cell_angle_alpha 90.00
_cell_angle_beta 90.00
_cell_angle_gamma 90.00
_symmetry_space_group_name_H-M 'P 4/m m m'
_symmetry_Int_Tables_number 123
_symmetry_space_group_name_Hall '-P 4 2'
loop_
_atom_site_label
_atom_site_type_symbol
_atom_site_fract_x
_atom_site_fract_y
_atom_site_fract_z
Cd1 Cd 0.000 0.000 0.000
Co1 Co 0.000 0.500 0.000
As1 As 0.500 0.500 0.500
I1 I 0.000 0.000 0.500
```

Formation energy without anion corrections = 1.66 eV per atom
Total energy = -0.0959 hartree per atom
Fermi-level density of states = 2.72 states/eV per atom


Entry 8:
VASP calculation (PBE) on MgCdCo2As after structural relaxation.

```
data_MgCdCo2As
_cell_length_a 4.733
_cell_length_b 4.733
_cell_length_c 4.954
_cell_angle_alpha 90.00
_cell_angle_beta 90.00
_cell_angle_gamma 90.00
_symmetry_space_group_name_H-M 'P 4/m m m'
_symmetry_Int_Tables_number 123
_symmetry_space_group_name_Hall '-P 4 2'
loop_
_atom_site_label
_atom_site_type_symbol
_atom_site_fract_x
_atom_site_fract_y
_atom_site_fract_z
Mg1 Mg 0.000 0.000 0.000
Cd1 Cd 0.000 0.000 0.500
Co1 Co 0.000 0.500 0.500
As1 As 0.500 0.500 0.000
```

Energy of formation = 6.16 eV/f.u.
Total energy = -0.1118 hartree per atom
Fermi-level density of states = 1.19 states/eV per atom


Entry 9:
VASP calculation (PBE) on CdCo2MoAs after structural relaxation.

```
data_CdCo2MoAs
_cell_length_a 4.343
_cell_length_b 4.343
_cell_length_c 4.688
_cell_angle_alpha 90.00
_cell_angle_beta 90.00
_cell_angle_gamma 90.00
_symmetry_space_group_name_H-M 'P 4/m m m'
_symmetry_Int_Tables_number 123
_symmetry_space_group_name_Hall '-P 4 2'
loop_
_atom_site_label
_atom_site_type_symbol
_atom_site_fract_x
_atom_site_fract_y
_atom_site_fract_z
Cd1 Cd 0.000 0.000 0.000
Co1 Co 0.000 0.500 0.500
Mo1 Mo 0.500 0.500 0.000
As1 As 0.500 0.500 0.500
```

Energy of formation = 3.34 eV/f.u.
Total energy = -0.2004 hartree per atom
Fermi-level density of states = 0.62 states/eV per atom